1.
DFT (PBE-GGA) results for Er4SnAsS2 after structural relaxation.

V ... 377 Å³/cell
Crystal system ... orthorhombic
Raw total energy ... -5.885 eV/atom
Total moment ... 0.0 μB per formula unit
Calculated density ... 8.2 g/cm3
ΔE_f (raw) ... -1490 meV/atom

Cell: 8.119 8.119 8.119 Å, 120.99 119.42 89.65°
Sites, in units of the cell vectors:
Er: 0.256 0.254 0.499
Er: 0.256 0.757 0.001
Er: 0.264 0.248 0.016
Er: 0.267 0.752 0.516
Er: 0.733 0.248 0.484
Er: 0.736 0.752 0.984
Er: 0.744 0.243 0.999
Er: 0.744 0.746 0.501
Sn: 0.000 0.000 0.500
Sn: 0.000 0.500 0.000
As: 0.000 0.500 0.500
As: 0.500 0.500 0.000
S: 0.000 0.000 0.000
S: 0.500 0.000 0.000
S: 0.500 0.000 0.500
S: 0.500 0.500 0.500

2.
DFT (PBE-GGA) results for Er6SnAs2S3 after structural relaxation.

V ... 278 Å³/cell
Crystal system ... monoclinic
Raw total energy ... -6.000 eV/atom
Total moment ... 0.0 μB per formula unit
Calculated density ... 8.2 g/cm3
ΔE_f (raw) ... -1578 meV/atom

Cell: 9.011 9.011 8.084 Å, 102.45 102.45 25.76°
Sites, in units of the cell vectors:
Er: 0.000 0.000 0.234
Er: 0.000 0.000 0.766
Er: 0.328 0.328 0.413
Er: 0.332 0.332 0.917
Er: 0.668 0.668 0.083
Er: 0.672 0.672 0.587
Sn: 0.500 0.500 0.500
As: 0.167 0.167 0.835
As: 0.833 0.833 0.165
S: 0.167 0.167 0.331
S: 0.500 0.500 0.000
S: 0.833 0.833 0.669

3.
DFT (PBE-GGA) results for Er6TeAs3S2 after structural relaxation.

V ... 284 Å³/cell
Crystal system ... monoclinic
Raw total energy ... -6.022 eV/atom
Total moment ... 0.0 μB per formula unit
Calculated density ... 8.3 g/cm3
ΔE_f (raw) ... -1629 meV/atom

Cell: 9.065 9.065 8.137 Å, 102.84 102.84 25.85°
Sites, in units of the cell vectors:
Er: 0.003 0.003 0.272
Er: 0.324 0.324 0.911
Er: 0.332 0.332 0.416
Er: 0.668 0.668 0.584
Er: 0.676 0.676 0.089
Er: 0.997 0.997 0.728
Te: 0.500 0.500 0.000
As: 0.163 0.163 0.832
As: 0.500 0.500 0.500
As: 0.837 0.837 0.168
S: 0.169 0.169 0.335
S: 0.831 0.831 0.665